This record from Alexandria via LeMat-Bulk describes a relaxed structure of Hg2SeO4. The functional is PBE-GGA.

**Uncorrected formation energy**: -0.422 eV per atom
**Total magnetic moment**: 0.0 μB per cell

The structure in CIF format:
```
data_Hg2SeO4
_cell_length_a 6.865
_cell_length_b 9.666
_cell_length_c 4.538
_cell_angle_alpha 90.00
_cell_angle_beta 131.24
_cell_angle_gamma 90.00
_space_group_name_H-M_alt 'C 1 m 1'
_space_group_IT_number 8
_space_group_name_Hall 'C -2y'
loop_
_atom_site_label
_atom_site_type_symbol
_atom_site_fract_x
_atom_site_fract_y
_atom_site_fract_z
_atom_site_occupancy
Hg1 Hg 0.000 0.233 0.000 1
Se1 Se 0.499 0.000 0.494 1
O1 O 0.337 0.500 0.874 1
O2 O 0.450 0.000 0.073 1
O3 O 0.485 0.212 0.488 1
```